Record 1
A PBEsol-optimized structure of CrNi2P, computed with SCAN.

DOS at the Fermi energy	0.636	states/eV per atom

```
CrNi2P
1.0
3.4353 0.0000 0.0000
0.0000 3.4353 0.0000
0.0000 0.0000 3.6200
Cr Ni P
1 2 1
Direct
0.0000 0.0000 0.5000
0.0000 0.5000 0.0000
0.5000 0.0000 0.0000
0.5000 0.5000 0.5000
```

=====

Record 2
A PBEsol-optimized structure of Rb2CrNiP, computed with SCAN.

DOS at the Fermi energy	0.377	states/eV per atom

```
Rb2CrNiP
1.0
-3.3833 1.4353 -1.7831
1.7452 -2.7425 -5.5191
-3.1364 -5.3330 1.6582
Ni P Rb Cr
1 1 2 1
Direct
0.0000 0.0000 0.0000
0.5000 0.0000 0.0000
0.0000 0.0000 0.5000
0.0000 0.5000 0.0000
0.5000 0.5000 0.5000
```

=====

no.,spin magnetization (μB per atom),ΔE_f (eV per atom)
1,0.67,-0.27
2,1.09,0.33